13
Lattice="-4.7249 4.7249 2.6313 4.7249 -4.7249 2.6313 4.7249 4.7249 -2.6313" Properties=species:S:1:pos:R:3 comment="PmZn4Ag8 PBE-GGA optimized geometry" formation_energy_mev_per_atom=-159 dft_energy_ev_per_atom=-2.6511 pbc="T T T"
Ag 2.6791 4.7249 0.0000
Zn 2.3624 2.3624 1.3156
Ag 0.0000 6.1669 0.0000
Ag 2.0458 0.0000 2.6313
Ag 3.2828 0.0000 0.0000
Zn 2.3624 2.3624 -1.3156
Pm 0.0000 0.0000 0.0000
Zn -2.3624 2.3624 1.3156
Ag 0.0000 2.0458 2.6313
Zn 2.3624 -2.3624 1.3156
Ag 6.1669 0.0000 0.0000
Ag 0.0000 3.2828 0.0000
Ag 4.7249 2.6791 0.0000


6
Lattice="3.6907 0.0000 0.0000 0.0000 3.6907 0.0000 0.0000 0.0000 10.9619" Properties=species:S:1:pos:R:3 comment="Pm3Zn2Ag PBE-GGA optimized geometry" formation_energy_mev_per_atom=-322 dft_energy_ev_per_atom=-3.5868 pbc="T T T"
Zn 0.0000 0.0000 1.7584
Zn 0.0000 0.0000 9.2035
Ag 0.0000 0.0000 5.4809
Pm 1.8454 1.8454 3.5615
Pm 1.8454 1.8454 0.0000
Pm 1.8454 1.8454 7.4004


6
Lattice="3.7112 0.0000 0.0000 0.0000 3.7112 0.0000 0.0000 0.0000 11.0920" Properties=species:S:1:pos:R:3 comment="Pm3ZnAg2 PBE-GGA optimized geometry" formation_energy_mev_per_atom=-305 dft_energy_ev_per_atom=-3.8295 pbc="T T T"
Pm 1.8556 1.8556 0.0000
Pm 1.8556 1.8556 7.3189
Ag 0.0000 0.0000 9.2022
Zn 0.0000 0.0000 5.5460
Ag 0.0000 0.0000 1.8898
Pm 1.8556 1.8556 3.7731


16
Lattice="-0.5437 -7.3469 3.1260 5.5105 1.6540 4.8457 -3.8023 1.8521 3.6917" Properties=species:S:1:pos:R:3 comment="PmZnAg2 PBE-GGA optimized geometry" formation_energy_mev_per_atom=-282 dft_energy_ev_per_atom=-3.1964 pbc="T T T"
Ag -3.4846 -3.2460 5.7215
Zn -1.5055 -4.9334 6.3151
Pm 0.8400 0.3289 1.8516
Ag 3.2378 -3.7133 8.6111
Ag 0.0674 0.5150 4.9348
Ag 4.6490 -0.5948 5.9419
Zn -2.1354 -0.8207 5.6276
Ag -2.0734 -0.1275 3.0523
Ag -1.3438 -2.6034 7.6040
Pm 0.3244 -4.1697 9.8118
Ag 2.5082 -1.2374 4.0594
Zn 3.2998 -3.0201 6.0359
Pm 1.4717 -0.9227 7.3988
Zn 2.6699 1.0926 5.3484
Pm -0.3073 -2.9181 4.2646
Ag 1.0970 -4.3559 6.7286


Here are the calculated size of the total moment numbers, same order: 0.0; 0.4; 0.0; 0.0 (μB/cell).